A plane-wave DFT calculation with GGA+U was carried out for an optimized crystal structure of KAc2CrO6.

Summary:
- DFT total energy: -69.48 eV per formula unit
- Space-group type: P4mm, No. 99
- Size of the total moment: 1.0 μB per formula unit

```
KAc2CrO6
1.0
5.6866 0.0000 0.0000
0.0000 5.6866 0.0000
0.0000 0.0000 5.5235
K Ac Cr O
1 2 1 6
Cartesian
0.0000 0.0000 0.0000
0.0000 2.8433 2.5002
2.8433 0.0000 2.5002
2.8433 2.8433 0.4406
0.0000 0.0000 3.0126
1.6239 1.6239 1.1206
1.6239 4.0628 1.1206
2.8433 2.8433 4.2554
4.0628 1.6239 1.1206
4.0628 4.0628 1.1206
```